Entry 1:
Here is a relaxed structure of PmPbNO from OQMD via LeMat-Bulk. Energies are from GGA-PBE.

Summary:
SG ... Pmc2_1

Cell: 3.9510 6.2627 6.5289 Å, 90.00 90.00 90.00°
With the nearest neighbours (Å) after each atom.
Positions (direct):
1 Pm 0.0000 0.2006 0.0000  2 O 2.23-2.26, 2 N 2.35
2 Pm 0.0000 0.7994 0.5000  2 O 2.23-2.26, 2 N 2.35
3 Pb 0.5000 0.2852 0.4725  1 N 2.22
4 Pb 0.5000 0.7148 0.9725  1 N 2.22
5 N 0.5000 0.3821 0.0892  1 Pb 2.22, 2 Pm 2.35
6 N 0.5000 0.6179 0.5892  1 Pb 2.22, 2 Pm 2.35
7 O 0.0000 0.1132 0.6694  2 Pm 2.23-2.26
8 O 0.0000 0.8868 0.1694  2 Pm 2.23-2.26



Entry 2:
Here is a relaxed structure of PmPbNO from OQMD via LeMat-Bulk. Energies are from GGA-PBE.

Summary:
SG ... Pmc2_1

Cell: 3.7092 7.3357 6.2227 Å, 90.00 90.00 90.00°
With the nearest neighbours (Å) after each atom.
Positions (direct):
1 Pm 0.0000 0.1292 0.0000  2 O 2.21, 2 N 2.33-2.38
2 Pm 0.0000 0.8708 0.5000  2 O 2.21, 2 N 2.33-2.38
3 Pb 0.5000 0.3450 0.4916  1 O 2.34, 2 N 2.35
4 Pb 0.5000 0.6550 0.9916  1 O 2.34, 2 N 2.35
5 N 0.0000 0.1720 0.3791  2 Pm 2.33-2.38, 2 Pb 2.35
6 N 0.0000 0.8280 0.8791  2 Pm 2.33-2.38, 2 Pb 2.35
7 O 0.5000 0.2166 0.8365  2 Pm 2.21, 1 Pb 2.34
8 O 0.5000 0.7834 0.3365  2 Pm 2.21, 1 Pb 2.34



Entry 3:
Here is a relaxed structure of PrPbNO from OQMD via LeMat-Bulk. Energies are from GGA-PBE.

Summary:
SG ... Pmc2_1

Cell: 3.7471 7.2874 6.3244 Å, 90.00 90.00 90.00°
With the nearest neighbours (Å) after each atom.
Positions (direct):
1 Pr 0.0000 0.1323 0.0000  2 O 2.25, 2 N 2.38-2.42
2 Pr 0.0000 0.8677 0.5000  2 O 2.25, 2 N 2.38-2.42
3 Pb 0.5000 0.3464 0.4926  1 O 2.33, 2 N 2.36
4 Pb 0.5000 0.6536 0.9926  1 O 2.33, 2 N 2.36
5 N 0.0000 0.1767 0.3799  2 Pb 2.36, 2 Pr 2.38-2.42
6 N 0.0000 0.8233 0.8799  2 Pb 2.36, 2 Pr 2.38-2.42
7 O 0.5000 0.2117 0.8270  2 Pr 2.25, 1 Pb 2.33
8 O 0.5000 0.7883 0.3270  2 Pr 2.25, 1 Pb 2.33



Entry 4:
Here is a relaxed structure of PrPbNO from OQMD via LeMat-Bulk. Energies are from GGA-PBE.

Summary:
SG ... P4/nmm

Cell: 4.3385 4.3385 7.9527 Å, 90.00 90.00 90.00°
With the nearest neighbours (Å) after each atom.
Positions (direct):
1 Pr 0.2500 0.2500 0.1259  4 O 2.39
2 Pr 0.7500 0.7500 0.8741  4 O 2.39
3 Pb 0.2500 0.7500 0.5000  4 N 2.51
4 Pb 0.7500 0.2500 0.5000  4 N 2.51
5 N 0.2500 0.2500 0.6598  4 Pb 2.51
6 N 0.7500 0.7500 0.3402  4 Pb 2.51
7 O 0.2500 0.7500 0.0000  4 Pr 2.39
8 O 0.7500 0.2500 0.0000  4 Pr 2.39



Entry 5:
Here is a relaxed structure of PrPbNO from OQMD via LeMat-Bulk. Energies are from GGA-PBE.

Summary:
SG ... Pmc2_1

Cell: 4.1080 7.0669 5.9513 Å, 90.00 90.00 90.00°
With the nearest neighbours (Å) after each atom.
Positions (direct):
1 Pr 0.0000 0.1798 0.0000  2 O 2.27-2.30, 2 N 2.40
2 Pr 0.0000 0.8202 0.5000  2 O 2.27-2.30, 2 N 2.40
3 Pb 0.5000 0.3352 0.4962  2 N 2.37-2.44, 2 O 2.62
4 Pb 0.5000 0.6648 0.9962  2 N 2.37-2.44, 2 O 2.62
5 N 0.5000 0.3308 0.8946  2 Pb 2.37-2.44, 2 Pr 2.40
6 N 0.5000 0.6692 0.3946  2 Pb 2.37-2.44, 2 Pr 2.40
7 O 0.0000 0.1258 0.3805  2 Pr 2.27-2.30
8 O 0.0000 0.8742 0.8805  2 Pr 2.27-2.30



Entry 6:
Here is a relaxed structure of PrPbNO from OQMD via LeMat-Bulk. Energies are from GGA-PBE.

Summary:
SG ... P4/nmm

Cell: 5.1649 5.1649 5.2227 Å, 90.00 90.00 90.00°
With the nearest neighbours (Å) after each atom.
Positions (direct):
1 Pr 0.2500 0.7500 0.0000  4 N 2.59, 2 O 2.61
2 Pr 0.7500 0.2500 0.0000  4 N 2.59, 2 O 2.61
3 Pb 0.2500 0.2500 0.4914  1 N 2.40, 4 O 2.58
4 Pb 0.7500 0.7500 0.5086  1 N 2.40, 4 O 2.58
5 N 0.2500 0.2500 0.0322  1 Pb 2.40, 4 Pr 2.59
6 N 0.7500 0.7500 0.9678  1 Pb 2.40, 4 Pr 2.59
7 O 0.2500 0.7500 0.5000  4 Pb 2.58, 2 Pr 2.61
8 O 0.7500 0.2500 0.5000  4 Pb 2.58, 2 Pr 2.61



Entry 7:
Here is a relaxed structure of PrPbNO from OQMD via LeMat-Bulk. Energies are from GGA-PBE.

Summary:
SG ... Pca2_1

Cell: 6.0105 8.5915 5.9100 Å, 90.00 90.00 90.00°
With the nearest neighbours (Å) after each atom.
Positions (direct):
1 Pr 0.0025 0.1274 0.0000  4 O 2.35-2.41, 1 N 2.41
2 Pr 0.4975 0.1274 0.5000  4 O 2.35-2.41, 1 N 2.41
3 Pr 0.5025 0.8726 0.0000  4 O 2.35-2.41, 1 N 2.41
4 Pr 0.9975 0.8726 0.5000  4 O 2.35-2.41, 1 N 2.41
5 Pb 0.0273 0.6252 0.0066  3 N 2.25-2.37
6 Pb 0.4727 0.6252 0.5066  3 N 2.25-2.37
7 Pb 0.5273 0.3748 0.0066  3 N 2.25-2.37
8 Pb 0.9727 0.3748 0.5066  3 N 2.25-2.37
9 N 0.0941 0.6115 0.6125  3 Pb 2.25-2.37, 1 Pr 2.41
10 N 0.4059 0.6115 0.1125  3 Pb 2.25-2.37, 1 Pr 2.41
11 N 0.5941 0.3885 0.6125  3 Pb 2.25-2.37, 1 Pr 2.41
12 N 0.9059 0.3885 0.1125  3 Pb 2.25-2.37, 1 Pr 2.41
13 O 0.2463 0.9969 0.2457  4 Pr 2.35-2.41
14 O 0.2537 0.9969 0.7457  4 Pr 2.35-2.41
15 O 0.7463 0.0031 0.2457  4 Pr 2.35-2.41
16 O 0.7537 0.0031 0.7457  4 Pr 2.35-2.41



Entry 8:
Here is a relaxed structure of PtPbNO from OQMD via LeMat-Bulk. Energies are from GGA-PBE.

Summary:
SG ... P4/nmm

Cell: 3.9951 3.9951 8.6866 Å, 90.00 90.00 90.00°
With the nearest neighbours (Å) after each atom.
Positions (direct):
1 Pt 0.2500 0.7500 0.0000  4 N 2.12
2 Pt 0.7500 0.2500 0.0000  4 N 2.12
3 Pb 0.2500 0.2500 0.3612  4 O 2.33
4 Pb 0.7500 0.7500 0.6388  4 O 2.33
5 N 0.2500 0.2500 0.9171  4 Pt 2.12
6 N 0.7500 0.7500 0.0829  4 Pt 2.12
7 O 0.2500 0.7500 0.5000  4 Pb 2.33
8 O 0.7500 0.2500 0.5000  4 Pb 2.33



Entry 9:
Here is a relaxed structure of PtPbNO from OQMD via LeMat-Bulk. Energies are from GGA-PBE.

Summary:
SG ... Pca2_1

Cell: 5.7975 7.2344 5.5431 Å, 90.00 90.00 90.00°
With the nearest neighbours (Å) after each atom.
Positions (direct):
1 Pt 0.1237 0.1586 0.0000  1 N 2.03, 3 O 2.06-2.21
2 Pt 0.3763 0.1586 0.5000  1 N 2.03, 3 O 2.06-2.21
3 Pt 0.6237 0.8414 0.0000  1 N 2.03, 3 O 2.06-2.21
4 Pt 0.8763 0.8414 0.5000  1 N 2.03, 3 O 2.06-2.21
5 Pb 0.0453 0.6652 0.9441  3 N 2.27-2.35
6 Pb 0.4547 0.6652 0.4441  3 N 2.27-2.35
7 Pb 0.5453 0.3348 0.9441  3 N 2.27-2.35
8 Pb 0.9547 0.3348 0.4441  3 N 2.27-2.35
9 N 0.0735 0.6377 0.3565  1 Pt 2.03
10 N 0.4265 0.6377 0.8565  1 Pt 2.03
11 N 0.5735 0.3623 0.3565  1 Pt 2.03
12 N 0.9265 0.3623 0.8565  1 Pt 2.03
13 O 0.1536 0.9826 0.6746  3 Pt 2.06-2.21
14 O 0.3464 0.9826 0.1746  3 Pt 2.06-2.21
15 O 0.6536 0.0174 0.6746  3 Pt 2.06-2.21
16 O 0.8464 0.0174 0.1746  3 Pt 2.06-2.21



Entry 10:
Here is a relaxed structure of PtPbNO from OQMD via LeMat-Bulk. Energies are from GGA-PBE.

Summary:
SG ... Pmc2_1

Cell: 3.9723 6.6307 5.1487 Å, 90.00 90.00 90.00°
With the nearest neighbours (Å) after each atom.
Positions (direct):
1 Pt 0.0000 0.0740 0.0000  2 N 1.95-1.98
2 Pt 0.0000 0.9260 0.5000  2 N 1.95-1.98
3 Pb 0.5000 0.3279 0.5015  2 O 2.25-2.26, 2 N 2.31
4 Pb 0.5000 0.6721 0.0015  2 O 2.25-2.26, 2 N 2.31
5 N 0.0000 0.1987 0.3423  2 Pt 1.95-1.98
6 N 0.0000 0.8013 0.8423  2 Pt 1.95-1.98
7 O 0.5000 0.3349 0.9385  2 Pb 2.25-2.26
8 O 0.5000 0.6651 0.4385  2 Pb 2.25-2.26



Entry 11:
Here is a relaxed structure of PtPbNO from OQMD via LeMat-Bulk. Energies are from GGA-PBE.

Summary:
SG ... P4/nmm

Cell: 4.7383 4.7383 5.0128 Å, 90.00 90.00 90.00°
With the nearest neighbours (Å) after each atom.
Positions (direct):
1 Pt 0.2500 0.2500 0.0220  1 N 2.05
2 Pt 0.7500 0.7500 0.9780  1 N 2.05
3 Pb 0.2500 0.7500 0.5000  4 N 2.44, 2 O 2.51
4 Pb 0.7500 0.2500 0.5000  4 N 2.44, 2 O 2.51
5 N 0.2500 0.2500 0.6133  1 Pt 2.05
6 N 0.7500 0.7500 0.3867  1 Pt 2.05
7 O 0.2500 0.7500 0.0000  4 Pt 2.37, 2 Pb 2.51
8 O 0.7500 0.2500 0.0000  4 Pt 2.37, 2 Pb 2.51



| no. | energy above the lowest structure with this stoichiometry (meV/atom) | total DFT energy (no corrections) (eV for the cell shown) |
| --- | --- | --- |
| 1 | 241 | -52.9 |
| 2 | 165 | -53.5 |
| 3 | 177 | -53.1 |
| 4 | 475 | -50.7 |
| 5 | 246 | -52.5 |
| 6 | 231 | -52.6 |
| 7 | 0 | -109.0 |
| 8 | 17 | -44.9 |
| 9 | 140 | -87.8 |
| 10 | 159 | -43.8 |
| 11 | 436 | -41.6 |